a | 12
Lattice="8.685 -2.076 0.000 8.685 2.076 0.000 -3.454 0.000 6.941" Properties=species:S:1:pos:R:3 comment="BaP2Pd3 (GGA-PBE, optimized geometry)" spacegroup="C2/m (12)" pbc="T T T"
Ba 2.424 0.000 1.208
Ba 11.491 0.000 5.733
P 0.302 0.000 4.478
P 8.206 0.000 0.958
P 5.709 0.000 5.983
P 13.613 0.000 2.463
Pd 16.299 0.000 2.148
Pd -2.384 0.000 4.793
Pd 5.924 0.000 1.485
Pd 4.751 0.000 3.847
Pd 9.164 0.000 3.095
Pd 7.991 0.000 5.456

b | 12
Lattice="7.586 -2.081 0.000 7.586 2.081 0.000 -3.411 0.000 7.543" Properties=species:S:1:pos:R:3 comment="BaP2Pd3 (GGA-PBE, optimized geometry)" spacegroup="C2/m (12)" pbc="T T T"
Ba 1.937 0.000 0.425
Ba 9.823 0.000 7.118
P 0.491 0.000 5.198
P 4.594 0.000 5.791
P 7.165 0.000 1.752
P 11.269 0.000 2.345
Pd -0.464 0.000 2.976
Pd 2.715 0.000 4.372
Pd 4.922 0.000 2.522
Pd 6.838 0.000 5.022
Pd 9.045 0.000 3.172
Pd 12.223 0.000 4.567

Stability summary: most stable b, least stable a.

a | 12
Lattice="4.679 -9.434 0.000 4.679 9.434 0.000 -4.640 0.000 6.494" Properties=species:S:1:pos:R:3 comment="Ba4PPt (GGA-PBE, optimized geometry)" spacegroup="C2/c (15)" pbc="T T T"
Ba 1.156 3.349 1.614
Ba -1.135 0.937 4.865
Ba 1.185 -0.937 1.618
Ba -1.164 -3.349 4.861
Ba 5.882 3.349 1.632
Ba 3.533 0.937 4.875
Ba 5.853 -0.937 1.629
Ba 3.562 -3.349 4.879
P 1.199 8.160 4.870
P 3.519 -8.160 1.623
Pt 3.519 1.300 1.623
Pt 1.199 -1.300 4.870

b | 6
Lattice="0.000 4.788 4.788 4.788 0.000 4.788 4.788 4.788 0.000" Properties=species:S:1:pos:R:3 comment="Ba4PPt (GGA-PBE, optimized geometry)" spacegroup="F-43m (216)" pbc="T T T"
Ba 1.196 1.196 1.196
Ba 3.592 3.592 1.196
Ba 3.592 1.196 3.592
Ba 1.196 3.592 3.592
P 7.181 7.181 7.181
Pt 4.788 4.788 4.788

Stability summary: most stable a, least stable b.

a | 5
Lattice="4.743 0.000 0.000 0.000 4.743 0.000 0.000 0.000 4.743" Properties=species:S:1:pos:R:3 comment="BaPPt3 (GGA-PBE, optimized geometry)" spacegroup="Pm-3m (221)" pbc="T T T"
Ba 0.000 0.000 0.000
P 2.371 2.371 2.371
Pt 0.000 2.371 2.371
Pt 2.371 0.000 2.371
Pt 2.371 2.371 0.000

b | 10
Lattice="2.972 -5.407 0.000 2.972 5.407 0.000 0.000 0.000 6.202" Properties=species:S:1:pos:R:3 comment="BaPPt3 (GGA-PBE, optimized geometry)" spacegroup="Cmcm (63)" pbc="T T T"
Ba 2.972 2.718 4.652
Ba 2.972 -2.718 1.551
P 2.972 4.293 1.551
P 2.972 -4.293 4.652
Pt 1.485 0.000 0.000
Pt 1.485 0.000 3.101
Pt 2.972 1.968 1.551
Pt 2.972 -1.968 4.652
Pt 4.460 0.000 0.000
Pt 4.460 0.000 3.101

c | 5
Lattice="5.331 0.000 0.000 0.000 5.331 0.000 0.000 0.000 5.331" Properties=species:S:1:pos:R:3 comment="BaPPt3 (GGA-PBE, optimized geometry)" spacegroup="Pm-3m (221)" pbc="T T T"
Ba 0.000 0.000 0.000
P 2.665 2.665 2.665
Pt 0.000 0.000 2.665
Pt 0.000 2.665 0.000
Pt 2.665 0.000 0.000

Stability summary: most stable b, least stable c.

a | 5
Lattice="5.469 0.000 0.000 0.000 5.469 0.000 0.000 0.000 5.469" Properties=species:S:1:pos:R:3 comment="RbBaP3 (GGA-PBE, optimized geometry)" spacegroup="Pm-3m (221)" pbc="T T T"
Rb 0.000 0.000 0.000
Ba 2.735 2.735 2.735
P 0.000 0.000 2.735
P 0.000 2.735 0.000
P 2.735 0.000 0.000

b | 5
Lattice="5.857 0.000 0.000 0.000 5.857 0.000 0.000 0.000 5.857" Properties=species:S:1:pos:R:3 comment="RbBaP3 (GGA-PBE, optimized geometry)" spacegroup="Pm-3m (221)" pbc="T T T"
Rb 0.000 0.000 0.000
Ba 2.929 2.929 2.929
P 0.000 2.929 2.929
P 2.929 0.000 2.929
P 2.929 2.929 0.000

Stability summary: most stable b, least stable a.